KMn2PF: optimized geometry, GGA+U.

Lattice parameters (Å, degrees): 5.701 5.701 4.311 90.00 90.00 90.00
Space group P4/mmm (No. 123)
Asymmetric unit:
K 0.000 0.000 0.000
Mn 0.000 0.500 0.000
P 0.500 0.500 0.500
F 0.000 0.000 0.500

## Properties
Energy: -4.0504 eV/atom